Ba3U2MnO9: optimized geometry, PBE with a Hubbard U.

The structure belongs to space group P-3m1 (No. 164); the cell edges are 6.1322, 6.1322 and 7.5624 Å and the angles 90.00°, 90.00° and 120.00°. Symmetry generates all atoms from Ba at (0.0000, 0.0000, 0.0000), Ba at (0.3333, 0.6667, 0.6496), U at (0.3333, 0.6667, 0.1737), Mn at (0.0000, 0.0000, 0.5000), O at (0.0000, 0.5000, 0.0000) and O at (0.1698, 0.3396, 0.3310).

The electronic total energy is -8.32 eV/atom.